Crystalline Al2Ni11 at its relaxed geometry, computed with PBE.

Properties
energy above the lowest structure with this stoichiometry = 0.000 eV per atom
total magnetic moment = 3.31 μB per formula unit

Geometry as CIF:
```
data_Al2Ni11
_cell_length_a 4.6465
_cell_length_b 4.6465
_cell_length_c 24.0041
_cell_angle_alpha 90.00
_cell_angle_beta 90.00
_cell_angle_gamma 120.00
_symmetry_space_group_name_H-M 'R -3 m'
_symmetry_Int_Tables_number 166
_symmetry_space_group_name_Hall '-R 3 2"'
loop_
_atom_site_label
_atom_site_fract_x
_atom_site_fract_y
_atom_site_fract_z
Al1 0.0000 0.0000 0.1482
Ni1 0.0000 0.0000 0.0478
Ni2 0.0000 0.0000 0.3336
Ni3 0.0000 0.0000 0.5000
Ni4 0.0039 0.5019 0.9127
```